1.
Here is LaReCl after structural relaxation from Alexandria. Energies are from GGA-PBEsol.

Cell: 3.0449 3.0449 7.5340 Å, 101.65 101.65 90.06°
Fractional coordinates of all 3 atoms:
Cl 0.9762 0.9762 0.9524
La 0.3391 0.3391 0.6783
Re 0.6847 0.6847 0.3693

Results
space group = I4mm (107)

=====

2.
Here is La2ReCl after structural relaxation from Alexandria. Energies are from GGA-PBEsol.

Cell: 3.6565 4.6613 5.7251 Å, 90.00 90.00 90.00°
Fractional coordinates of all 4 atoms:
La 0.0000 0.0000 0.9020
La 0.5000 0.5000 0.3775
Re 0.0000 0.0000 0.3449
Cl 0.5000 0.5000 0.8755

Results
space group = Pmm2 (25)
distance to the lowest polymorph of the same formula = 97 meV per atom

=====

3.
Here is La2ReCl after structural relaxation from Alexandria. Energies are from GGA-PBEsol.

Cell: 3.4307 3.4444 8.0447 Å, 90.00 92.27 90.00°
Fractional coordinates of all 4 atoms:
La 0.0382 0.0000 0.7802
La 0.9618 0.0000 0.2198
Cl 0.5000 0.5000 0.5000
Re 0.5000 0.5000 0.0000

Results
space group = P2/m (10)
distance to the lowest polymorph of the same formula = 0 meV per atom

=====

4.
Here is La2ReCl after structural relaxation from Alexandria. Energies are from GGA-PBEsol.

Cell: 3.3793 5.1744 5.1744 Å, 90.00 90.00 90.00°
Fractional coordinates of all 4 atoms:
Cl 0.5000 0.0000 0.0000
Re 0.5000 0.5000 0.5000
La 0.0000 0.5000 0.0000
La 0.0000 0.0000 0.5000

Results
space group = P4/mmm (123)
distance to the lowest polymorph of the same formula = 260 meV per atom

=====

5.
Here is La2ReCl after structural relaxation from Alexandria. Energies are from GGA-PBEsol.

Cell: 3.5544 4.2302 8.0517 Å, 102.82 90.00 114.84°
Fractional coordinates of all 4 atoms:
La 0.7664 0.5327 0.7116
La 0.2336 0.4673 0.2884
Re 0.0000 0.0000 0.5000
Cl 0.5000 0.0000 0.0000

Results
space group = C2/m (12)
distance to the lowest polymorph of the same formula = 169 meV per atom

=====

6.
Here is LaRe2Cl after structural relaxation from Alexandria. Energies are from GGA-PBEsol.

Cell: 3.7770 5.1991 5.1991 Å, 64.90 68.70 68.70°
Fractional coordinates of all 4 atoms:
Re 0.7442 0.7558 0.7558
Re 0.0592 0.9408 0.9408
La 0.2370 0.2630 0.2630
Cl 0.4596 0.5404 0.5404

Results
space group = Imm2 (44)

=====

E_form (uncorrected): 0.3172 -0.5215 -0.6182 -0.3584 -0.4490 0.3499 (eV/atom)